(1)
Computed, not measured: crystalline LaTa3Bi at its relaxed geometry at the GGA-PBE level of DFT.

Its energy is -7.156 eV/atom. As for the space group: Pm-3m. The volume is 143 Å³ per cell. The value obtained for the formation energy from the elements is 1.7173 eV/atom. As for the crystal system: cubic.

Lattice parameters (Å, degrees): 5.2350 5.2350 5.2350 90.00 90.00 90.00
With the nearest neighbours (Å) after each atom.
Fractional positions:
Ta (0.0000, 0.0000, 0.5000)  2 Bi 2.62
Ta (0.0000, 0.5000, 0.0000)  2 Bi 2.62
Ta (0.5000, 0.0000, 0.0000)  2 Bi 2.62
Bi (0.0000, 0.0000, 0.0000)  6 Ta 2.62
La (0.5000, 0.5000, 0.5000)  12 Ta 3.70

***

(2)
Computed, not measured: crystalline CeNi at its relaxed geometry at the GGA-PBE level of DFT.

Its energy is -6.043 eV/atom. As for the space group: Fm-3m. The volume is 44 Å³ per cell. The value obtained for the formation energy from the elements is -0.1854 eV/atom. As for the crystal system: cubic.

Lattice parameters (Å, degrees): 3.9528 3.9528 3.9528 60.00 60.00 60.00
With the nearest neighbours (Å) after each atom.
Fractional positions:
Ni (0.0000, 0.0000, 0.0000)  6 Ce 2.80
Ce (0.5000, 0.5000, 0.5000)  6 Ni 2.80

***

(3)
Computed, not measured: crystalline BaSr2MgS at its relaxed geometry at the GGA-PBE level of DFT.

The uncorrected formation energy comes out at -0.744 eV/atom. Its energy is -2.946 eV/atom. As for the space group: P4/mmm. The volume is 210 Å³ per cell. As for the crystal system: tetragonal.

Lattice parameters (Å, degrees): 5.7932 5.7932 6.2708 90.00 90.00 90.00
With the nearest neighbours (Å) after each atom.
Fractional positions:
Mg (0.5000, 0.5000, 0.5000)  4 Ba 4.10, 8 Sr 4.27
Sr (0.0000, 0.5000, 0.0000)  2 S 2.90
Sr (0.5000, 0.0000, 0.0000)  2 S 2.90
S (0.0000, 0.0000, 0.0000)  4 Sr 2.90, 2 Ba 3.14
Ba (0.0000, 0.0000, 0.5000)  2 S 3.14

***

(4)
Computed, not measured: crystalline PmScTe3 at its relaxed geometry at the GGA-PBE level of DFT.

The uncorrected formation energy comes out at -1.276 eV/atom. Its energy is -5.377 eV/atom. As for the space group: Pnma. The volume is 610 Å³ per cell. As for the crystal system: orthorhombic.

Lattice parameters (Å, degrees): 4.2814 9.5998 14.8535 90.00 90.00 90.00
With the nearest neighbours (Å) after each atom.
Fractional positions:
Te (0.2500, 0.3001, 0.7814)  1 Sc 2.89
Te (0.2500, 0.1484, 0.5249)  2 Sc 2.95, 2 Pm 3.23
Te (0.7500, 0.6999, 0.2186)  1 Sc 2.89
Te (0.7500, 0.8516, 0.4751)  2 Sc 2.95, 2 Pm 3.23
Te (0.7500, 0.3516, 0.0249)  2 Sc 2.95, 2 Pm 3.23
Te (0.7500, 0.1999, 0.2814)  1 Sc 2.89
Te (0.2500, 0.8001, 0.7186)  1 Sc 2.89
Te (0.7500, 0.9989, 0.8851)  3 Sc 2.85-2.89, 1 Pm 3.18
Te (0.2500, 0.0011, 0.1149)  3 Sc 2.85-2.89, 1 Pm 3.18
Te (0.2500, 0.6484, 0.9751)  2 Sc 2.95, 2 Pm 3.23
Te (0.7500, 0.4989, 0.6149)  3 Sc 2.85-2.89, 1 Pm 3.18
Te (0.2500, 0.5011, 0.3851)  3 Sc 2.85-2.89, 1 Pm 3.18
Sc (0.7500, 0.3318, 0.4562)  6 Te 2.85-2.95
Sc (0.7500, 0.8318, 0.0438)  6 Te 2.85-2.95
Sc (0.2500, 0.1682, 0.9562)  6 Te 2.85-2.95
Sc (0.2500, 0.6682, 0.5438)  6 Te 2.85-2.95
Pm (0.2500, 0.9570, 0.3270)  6 Te 3.18-3.47
Pm (0.7500, 0.5430, 0.8270)  6 Te 3.18-3.47
Pm (0.7500, 0.0430, 0.6730)  6 Te 3.18-3.47
Pm (0.2500, 0.4570, 0.1730)  6 Te 3.18-3.47

***

(5)
Computed, not measured: crystalline SrSc2Be at its relaxed geometry at the GGA-PBE level of DFT.

Its energy is -4.007 eV/atom. As for the space group: P2/m. The volume is 99 Å³ per cell. The value obtained for the formation energy from the elements is 0.5111 eV/atom. As for the crystal system: monoclinic.

Lattice parameters (Å, degrees): 3.8940 5.0516 7.1173 45.10 90.00 90.00
With the nearest neighbours (Å) after each atom.
Fractional positions:
Sr (0.5000, 0.5000, 0.5000)  6 Sc 3.19-3.56, 4 Be 3.19
Be (0.0000, 0.0000, 0.5000)  6 Sc 3.19-3.56, 4 Sr 3.19
Sc (0.5000, 0.5000, 0.0000)  4 Be 3.19, 4 Sc 3.19, 2 Sr 3.56
Sc (0.0000, 0.0000, 0.0000)  4 Sr 3.19, 4 Sc 3.19, 2 Be 3.56

***

(6)
Computed, not measured: crystalline K4La3SmTe8 at its relaxed geometry at the GGA-PBE level of DFT.

The uncorrected formation energy comes out at -1.477 eV/atom. Its energy is -4.541 eV/atom. As for the space group: R-3m. The volume is 624 Å³ per cell. As for the crystal system: trigonal.

Lattice parameters (Å, degrees): 9.3582 9.8485 9.3581 118.39 120.00 90.00
With the nearest neighbours (Å) after each atom.
Fractional positions:
Sm (0.0000, 0.5000, 0.0000)  6 Te 3.19
Te (0.7391, 0.7171, 0.4782)  3 La 3.24, 3 K 3.57
Te (0.2559, 0.2855, 0.0207)  1 Sm 3.19, 2 La 3.25, 2 K 3.56
Te (0.2609, 0.2829, 0.5218)  3 La 3.24, 3 K 3.57
Te (0.2353, 0.7145, 0.9793)  1 Sm 3.19, 2 La 3.25, 2 K 3.56
Te (0.2353, 0.7145, 0.4706)  1 Sm 3.19, 2 La 3.25, 2 K 3.56
Te (0.7647, 0.2855, 0.5294)  1 Sm 3.19, 2 La 3.25, 2 K 3.56
Te (0.7647, 0.2855, 0.0207)  1 Sm 3.19, 2 La 3.25, 2 K 3.56
Te (0.7441, 0.7145, 0.9793)  1 Sm 3.19, 2 La 3.25, 2 K 3.56
K (0.0000, 0.0000, 0.0000)  6 Te 3.56-3.57
K (0.5000, 0.0000, 0.0000)  6 Te 3.62
K (0.0000, 0.0000, 0.5000)  6 Te 3.56-3.57
K (0.5000, 0.0000, 0.5000)  6 Te 3.56-3.57
La (0.0000, 0.5000, 0.5000)  6 Te 3.24-3.25
La (0.5000, 0.5000, 0.0000)  6 Te 3.24-3.25
La (0.5000, 0.5000, 0.5000)  6 Te 3.24-3.25

***

(7)
Computed, not measured: crystalline Ru3Rh13 at its relaxed geometry at the GGA-PBE level of DFT.

Its energy is -7.689 eV/atom. As for the space group: Amm2. The volume is 226 Å³ per cell. The value obtained for the formation energy from the elements is 0.0237 eV/atom. As for the crystal system: orthorhombic.

Lattice parameters (Å, degrees): 5.4230 5.4230 7.6844 90.00 90.00 89.88
With the nearest neighbours (Å) after each atom.
Fractional positions:
Rh (0.5009, 0.0010, 0.7511)  3 Ru 2.70-2.72, 9 Rh 2.70-2.73
Rh (0.7523, 0.7520, 0.0000)  4 Ru 2.68-2.74, 8 Rh 2.68-2.74
Rh (0.2480, 0.2477, 0.0000)  4 Ru 2.68-2.74, 8 Rh 2.68-2.74
Rh (0.7523, 0.2477, 0.5000)  10 Rh 2.69-2.74, 2 Ru 2.70
Rh (0.2477, 0.2478, 0.5000)  10 Rh 2.69-2.74, 2 Ru 2.71
Rh (0.5007, 0.4993, 0.2486)  11 Rh 2.70-2.74, 1 Ru 2.72
Rh (0.2489, 0.7511, 0.5000)  10 Rh 2.69-2.73, 2 Ru 2.72
Rh (0.7522, 0.7523, 0.5000)  10 Rh 2.69-2.74, 2 Ru 2.71
Rh (0.5007, 0.4993, 0.7514)  11 Rh 2.70-2.74, 1 Ru 2.72
Rh (0.2473, 0.7527, 0.0000)  10 Rh 2.68-2.74, 2 Ru 2.70
Rh (0.9990, 0.4991, 0.2489)  3 Ru 2.70-2.72, 9 Rh 2.70-2.73
Rh (0.5009, 0.0010, 0.2489)  3 Ru 2.70-2.72, 9 Rh 2.70-2.73
Rh (0.9990, 0.4991, 0.7511)  3 Ru 2.70-2.72, 9 Rh 2.70-2.73
Ru (0.9985, 0.0015, 0.2489)  1 Ru 2.68, 11 Rh 2.70-2.72
Ru (0.7532, 0.2468, 0.0000)  2 Ru 2.68, 10 Rh 2.68-2.74
Ru (0.9985, 0.0015, 0.7511)  1 Ru 2.68, 11 Rh 2.70-2.72

***

(8)
Computed, not measured: crystalline Fe3NiI at its relaxed geometry at the GGA-PBE level of DFT.

The uncorrected formation energy comes out at 0.961 eV/atom. Its energy is -5.583 eV/atom. As for the space group: Pm-3m. The volume is 90 Å³ per cell. As for the crystal system: cubic.

Lattice parameters (Å, degrees): 4.4796 4.4796 4.4796 90.00 90.00 90.00
With the nearest neighbours (Å) after each atom.
Fractional positions:
Fe (0.5000, 0.0000, 0.0000)  2 Ni 2.24
Fe (0.0000, 0.5000, 0.0000)  2 Ni 2.24
Fe (0.0000, 0.0000, 0.5000)  2 Ni 2.24
Ni (0.0000, 0.0000, 0.0000)  6 Fe 2.24
I (0.5000, 0.5000, 0.5000)  12 Fe 3.17